Entry 1:
FeTcPb2: relaxed, PBE-GGA.

Computed properties:
ΔH_f (0 K), meV/atom: 825
Fermi-level density of states, states/eV/cell: 4.41
Calculated volume, Å³ per cell: 80.1
Polymorph energy (0 for the lowest one), kJ/mol of formula units: 184
Size of the total moment, μB per atom: 0.926
E_tot, eV/atom: -5.736

Cell lengths 5.301, 5.301, 5.301 Å; angles 139.25, 122.78, 72.61 degrees
Site moments in Bohr magnetons follow the coordinates.
Element x y z (fractional)
Fe (0.250, 0.750, 0.500)  2.79
Pb (0.008, 0.008, 0.000)  -0.03
Pb (0.492, 0.492, 0.000)  -0.03
Tc (0.750, 0.250, 0.500)  0.86

Entry 2:
La2PrSm4Tm: relaxed, PBE-GGA.

Computed properties:
ΔH_f (0 K), meV/atom: 19
Fermi-level density of states, states/eV/cell: 23.69
Calculated volume, Å³ per cell: 551.8
Size of the total moment, μB per atom: 0.000
E_tot, eV/atom: -4.729

Cell lengths 7.297, 12.646, 12.635 Å; angles 131.68, 125.26, 90.05 degrees
Element x y z (fractional)
Sm (0.751, 0.750, 0.505)
Sm (0.252, 0.251, 0.006)
Sm (0.748, 0.749, 0.994)
Sm (0.249, 0.250, 0.495)
Sm (0.760, 0.251, 0.006)
Sm (0.240, 0.749, 0.994)
Sm (0.259, 0.750, 0.505)
Sm (0.741, 0.250, 0.495)
La (0.500, 0.000, 0.500)
La (0.500, 0.000, 0.000)
La (0.000, 0.000, 0.500)
La (0.500, 0.500, 0.000)
Pr (0.000, 0.500, 0.000)
Pr (0.000, 0.500, 0.500)
Tm (0.000, 0.000, 0.000)
Tm (0.500, 0.500, 0.500)

Entry 3:
PmHoInGa: relaxed, PBE-GGA.

Computed properties:
ΔH_f (0 K), meV/atom: -522
Fermi-level density of states, states/eV/cell: 2.12
Calculated volume, Å³ per cell: 101.9
Polymorph energy (0 for the lowest one), kJ/mol of formula units: 0
Size of the total moment, μB per atom: 0.000
E_tot, eV/atom: -4.296

Cell lengths 3.673, 3.673, 7.550 Å; angles 90.00, 90.00, 90.00 degrees
Element x y z (fractional)
Ho (0.500, 0.500, 0.593)
In (0.000, 0.000, 0.846)
Pm (0.500, 0.500, 0.121)
Ga (0.000, 0.000, 0.369)

Entry 4:
Tm4CuAu3: relaxed, PBE-GGA.

Computed properties:
ΔH_f (0 K), meV/atom: -736
Fermi-level density of states, states/eV/cell: 4.83
Calculated volume, Å³ per cell: 174.9
Size of the total moment, μB per atom: 0.000
E_tot, eV/atom: -4.713

Cell lengths 3.531, 3.531, 14.032 Å; angles 90.00, 90.00, 90.00 degrees
Element x y z (fractional)
Tm (0.000, 0.000, 0.881)
Tm (0.000, 0.000, 0.119)
Tm (0.000, 0.000, 0.628)
Tm (0.000, 0.000, 0.372)
Cu (0.500, 0.500, 0.000)
Au (0.500, 0.500, 0.755)
Au (0.500, 0.500, 0.500)
Au (0.500, 0.500, 0.245)

Entry 5:
LiInMoRu: relaxed, PBE-GGA.

Computed properties:
ΔH_f (0 K), meV/atom: -29
Fermi-level density of states, states/eV/cell: 0.41
Calculated volume, Å³ per cell: 61.4
Size of the total moment, μB per atom: 0.000
E_tot, eV/atom: -6.219

Cell lengths 4.429, 4.429, 4.429 Å; angles 60.00, 60.00, 60.00 degrees
Element x y z (fractional)
Li (0.250, 0.250, 0.250)
Mo (0.000, 0.000, 0.000)
In (0.500, 0.500, 0.500)
Ru (0.750, 0.750, 0.750)

Entry 6:
Li2TaP: relaxed, PBE-GGA.

Computed properties:
ΔH_f (0 K), meV/atom: 116
Fermi-level density of states, states/eV/cell: 4.57
Calculated volume, Å³ per cell: 63.4
Size of the total moment, μB per atom: 0.053
E_tot, eV/atom: -5.157

Cell lengths 9.421, 9.421, 9.421 Å; angles 17.14, 17.14, 17.14 degrees
Site moments in Bohr magnetons follow the coordinates.
Element x y z (fractional)
P (0.250, 0.250, 0.250)  0.10
Li (0.513, 0.513, 0.513)  0.00
Li (0.987, 0.987, 0.987)  0.00
Ta (0.750, 0.750, 0.750)  -0.01

Entry 7:
YURu2: relaxed, PBE-GGA.

Computed properties:
ΔH_f (0 K), meV/atom: -335
Fermi-level density of states, states/eV/cell: 5.39
Calculated volume, Å³ per cell: 79.2
Size of the total moment, μB per atom: 0.286
E_tot, eV/atom: -9.411

Cell lengths 3.386, 3.386, 6.906 Å; angles 90.00, 90.00, 90.00 degrees
Site moments in Bohr magnetons follow the coordinates.
Element x y z (fractional)
Ru (0.000, 0.000, 0.785)  -0.14
Ru (0.000, 0.000, 0.215)  -0.14
U (0.500, 0.500, 0.000)  1.23
Y (0.500, 0.500, 0.500)  0.06

Entry 8:
ReNiSbTe2: relaxed, PBE-GGA.

Computed properties:
Fermi-level density of states, states/eV/cell: 4.33
Calculated volume, Å³ per cell: 118.4
Polymorph energy (0 for the lowest one), kJ/mol of formula units: 6
Size of the total moment, μB per atom: 0.421
E_tot, eV/atom: -4.558

Cell lengths 4.988, 4.988, 4.760 Å; angles 90.00, 90.00, 90.00 degrees
Site moments in Bohr magnetons follow the coordinates.
Element x y z (fractional)
Sb (0.000, 0.000, 0.500)  -0.10
Ni (0.000, 0.000, 0.000)  -0.06
Re (0.500, 0.500, 0.500)  2.22
Te (0.500, 0.000, 0.000)  -0.09
Te (0.000, 0.500, 0.000)  -0.09

Entry 9:
Li3HoU2S6: relaxed, PBE-GGA.

Computed properties:
Fermi-level density of states, states/eV/cell: 7.77
Calculated volume, Å³ per cell: 243.7
Size of the total moment, μB per atom: 0.496
E_tot, eV/atom: -6.313

Cell lengths 6.719, 6.719, 6.624 Å; angles 99.73, 99.73, 120.01 degrees
Site moments in Bohr magnetons follow the coordinates.
Element x y z (fractional)
S (0.247, 0.247, 0.745)  -0.04
S (0.753, 0.753, 0.255)  -0.04
S (0.417, 0.085, 0.255)  -0.04
S (0.583, 0.915, 0.745)  -0.04
S (0.085, 0.417, 0.255)  -0.04
S (0.915, 0.583, 0.745)  -0.04
U (0.667, 0.333, 0.000)  2.56
U (0.333, 0.667, 0.000)  2.56
Ho (0.000, 0.000, 0.000)  0.19
Li (0.836, 0.164, 0.500)  0.00
Li (0.164, 0.836, 0.500)  0.00
Li (0.500, 0.500, 0.500)  0.00

Entry 10:
MgTi2HgO6: relaxed, PBE-GGA.

Computed properties:
Fermi-level density of states, states/eV/cell: 0.00
Calculated volume, Å³ per cell: 294.6
Size of the total moment, μB per atom: 0.000
E_tot, eV/atom: -7.116

Cell lengths 6.097, 7.416, 7.416 Å; angles 98.79, 72.66, 72.66 degrees
Element x y z (fractional)
Ti (0.305, 0.731, 0.571)
Ti (0.695, 0.269, 0.429)
Ti (0.195, 0.429, 0.269)
Ti (0.805, 0.571, 0.731)
O (0.972, 0.337, 0.424)
O (0.028, 0.663, 0.576)
O (0.850, 0.041, 0.217)
O (0.432, 0.827, 0.378)
O (0.350, 0.217, 0.041)
O (0.528, 0.576, 0.663)
O (0.568, 0.173, 0.622)
O (0.650, 0.783, 0.959)
O (0.068, 0.622, 0.173)
O (0.150, 0.959, 0.783)
O (0.472, 0.424, 0.337)
O (0.932, 0.378, 0.827)
Mg (0.250, 0.195, 0.805)
Mg (0.750, 0.805, 0.195)
Hg (0.750, 0.107, 0.893)
Hg (0.250, 0.893, 0.107)

Entry 11:
Li2CeTm2Mg5: relaxed, PBE-GGA.

Computed properties:
ΔH_f (0 K), meV/atom: 46
Fermi-level density of states, states/eV/cell: 26.59
Calculated volume, Å³ per cell: 490.9
Size of the total moment, μB per atom: 0.086
E_tot, eV/atom: -2.622

Cell lengths 4.466, 10.484, 10.484 Å; angles 90.00, 90.00, 90.00 degrees
Site moments in Bohr magnetons follow the coordinates.
Element x y z (fractional)
Mg (0.500, 0.500, 0.000)  0.00
Mg (0.500, 0.561, 0.717)  0.00
Mg (0.500, 0.717, 0.439)  0.00
Mg (0.500, 0.000, 0.500)  0.00
Mg (0.500, 0.939, 0.217)  0.00
Mg (0.500, 0.439, 0.283)  0.00
Mg (0.500, 0.283, 0.561)  0.00
Mg (0.500, 0.783, 0.939)  0.00
Mg (0.500, 0.061, 0.783)  0.00
Mg (0.500, 0.217, 0.061)  0.00
Tm (0.000, 0.181, 0.319)  -0.01
Tm (0.000, 0.319, 0.819)  -0.01
Tm (0.000, 0.819, 0.681)  -0.01
Tm (0.000, 0.681, 0.181)  -0.01
Ce (0.000, 0.500, 0.500)  0.80
Ce (0.000, 0.000, 0.000)  0.80
Li (0.000, 0.887, 0.387)  0.00
Li (0.000, 0.113, 0.613)  0.00
Li (0.000, 0.613, 0.887)  0.00
Li (0.000, 0.387, 0.113)  0.00

Entry 12:
YBeAu2: relaxed, PBE-GGA.

Computed properties:
ΔH_f (0 K), meV/atom: -286
Fermi-level density of states, states/eV/cell: 2.11
Calculated volume, Å³ per cell: 74.5
Size of the total moment, μB per atom: 0.000
E_tot, eV/atom: -4.473

Cell lengths 4.965, 4.965, 4.965 Å; angles 127.61, 127.61, 77.26 degrees
Element x y z (fractional)
Be (0.500, 0.500, 0.000)
Y (0.750, 0.250, 0.500)
Au (0.000, 0.000, 0.000)
Au (0.250, 0.750, 0.500)

Entry 13:
MgTeAs2Br: relaxed, PBE-GGA.

Computed properties:
Fermi-level density of states, states/eV/cell: 3.23
Calculated volume, Å³ per cell: 132.6
Polymorph energy (0 for the lowest one), kJ/mol of formula units: 0
Size of the total moment, μB per atom: 0.000
E_tot, eV/atom: -2.830

Cell lengths 5.233, 5.233, 4.843 Å; angles 90.00, 90.00, 90.00 degrees
Element x y z (fractional)
Mg (0.000, 0.000, 0.000)
Br (0.000, 0.000, 0.500)
Te (0.500, 0.500, 0.500)
As (0.000, 0.500, 0.000)
As (0.500, 0.000, 0.000)

Entry 14:
Pm3YTe4: relaxed, PBE-GGA.

Computed properties:
Fermi-level density of states, states/eV/cell: 5.12
Calculated volume, Å³ per cell: 248.0
Polymorph energy (0 for the lowest one), kJ/mol of formula units: 0
Size of the total moment, μB per atom: 0.000
E_tot, eV/atom: -5.542

Cell lengths 4.393, 7.724, 7.724 Å; angles 108.89, 90.00, 90.00 degrees
Element x y z (fractional)
Y (0.500, 0.000, 0.000)
Pm (0.500, 0.500, 0.500)
Pm (0.000, 0.000, 0.500)
Pm (0.000, 0.500, 0.000)
Te (0.500, 0.247, 0.753)
Te (0.000, 0.244, 0.244)
Te (0.500, 0.753, 0.247)
Te (0.000, 0.756, 0.756)

Entry 15:
Pm2NdCrN4: relaxed, PBE-GGA.

Computed properties:
Fermi-level density of states, states/eV/cell: 7.24
Calculated volume, Å³ per cell: 246.3
Size of the total moment, μB per atom: 0.230
E_tot, eV/atom: -8.228

Cell lengths 3.477, 6.147, 12.017 Å; angles 90.00, 90.00, 106.43 degrees
Site moments in Bohr magnetons follow the coordinates.
Element x y z (fractional)
N (0.582, 0.165, 0.250)  -0.06
N (0.269, 0.537, 0.365)  -0.01
N (0.000, 0.000, 0.000)  0.02
N (0.269, 0.537, 0.135)  -0.01
N (0.731, 0.463, 0.865)  -0.01
N (0.731, 0.463, 0.635)  -0.01
N (0.000, 0.000, 0.500)  0.02
N (0.418, 0.835, 0.750)  -0.06
Pm (0.632, 0.264, 0.043)  0.03
Pm (0.632, 0.264, 0.457)  0.03
Pm (0.368, 0.736, 0.957)  0.03
Pm (0.368, 0.736, 0.543)  0.03
Cr (0.832, 0.664, 0.750)  1.54
Cr (0.168, 0.336, 0.250)  1.54
Nd (0.100, 0.200, 0.750)  0.05
Nd (0.900, 0.800, 0.250)  0.05

Entry 16:
SrZrCuP2: relaxed, PBE-GGA.

Computed properties:
ΔH_f (0 K), meV/atom: 491
Fermi-level density of states, states/eV/cell: 3.12
Calculated volume, Å³ per cell: 167.5
Size of the total moment, μB per atom: 0.158
E_tot, eV/atom: -4.539

Cell lengths 4.937, 6.872, 4.937 Å; angles 90.00, 90.00, 90.00 degrees
Site moments in Bohr magnetons follow the coordinates.
Element x y z (fractional)
Sr (0.000, 0.500, 0.000)  0.08
P (0.000, 0.000, 0.500)  -0.03
P (0.500, 0.000, 0.000)  -0.02
Zr (0.000, 0.000, 0.000)  0.36
Cu (0.500, 0.500, 0.500)  0.02

Entry 17:
Ho3ZnTe6: relaxed, PBE-GGA.

Computed properties:
Fermi-level density of states, states/eV/cell: 10.43
Calculated volume, Å³ per cell: 643.5
Size of the total moment, μB per atom: 0.000
E_tot, eV/atom: -4.428

Cell lengths 7.119, 9.612, 9.612 Å; angles 101.94, 90.00, 90.00 degrees
Element x y z (fractional)
Ho (0.980, 0.072, 0.275)
Ho (0.887, 0.609, 0.391)
Ho (0.387, 0.391, 0.609)
Ho (0.980, 0.725, 0.928)
Ho (0.480, 0.275, 0.072)
Ho (0.480, 0.928, 0.725)
Te (0.683, 0.311, 0.364)
Te (0.660, 0.226, 0.774)
Te (0.183, 0.689, 0.636)
Te (0.209, 0.445, 0.910)
Te (0.683, 0.636, 0.689)
Te (0.669, 0.961, 0.039)
Te (0.169, 0.039, 0.961)
Te (0.209, 0.090, 0.555)
Te (0.183, 0.364, 0.311)
Te (0.709, 0.910, 0.445)
Te (0.709, 0.555, 0.090)
Te (0.160, 0.774, 0.226)
Zn (0.527, 0.793, 0.207)
Zn (0.027, 0.207, 0.793)

Entry 18:
Nd2ZrPaP4: relaxed, PBE-GGA.

Computed properties:
ΔH_f (0 K), meV/atom: -1433
Fermi-level density of states, states/eV/cell: 4.81
Calculated volume, Å³ per cell: 181.4
Size of the total moment, μB per atom: 0.000
E_tot, eV/atom: -7.586

Cell lengths 3.997, 6.883, 6.982 Å; angles 109.17, 90.00, 90.00 degrees
Element x y z (fractional)
P (0.500, 0.762, 0.774)
P (0.000, 0.251, 0.770)
P (0.500, 0.238, 0.226)
P (0.000, 0.749, 0.230)
Zr (0.000, 0.000, 0.000)
Nd (0.500, 0.000, 0.500)
Nd (0.000, 0.500, 0.500)
Pa (0.500, 0.500, 0.000)

Entry 19:
BiIrRu2: relaxed, PBE-GGA.

Computed properties:
ΔH_f (0 K), meV/atom: 966
Fermi-level density of states, states/eV/cell: 7.51
Calculated volume, Å³ per cell: 196.6
Size of the total moment, μB per atom: 0.000
E_tot, eV/atom: -6.858

Cell lengths 5.824, 5.824, 7.110 Å; angles 65.82, 65.82, 90.00 degrees
Element x y z (fractional)
Ir (0.250, 0.750, 0.500)
Ir (0.500, 0.500, 0.000)
Ru (0.375, 0.420, 0.750)
Ru (0.170, 0.625, 0.250)
Ru (0.580, 0.125, 0.250)
Ru (0.875, 0.830, 0.750)
Bi (0.750, 0.250, 0.500)
Bi (0.000, 0.000, 0.000)

Entry 20:
Ag2HgC2: relaxed, PBE-GGA.

Computed properties:
ΔH_f (0 K), meV/atom: 1153
Fermi-level density of states, states/eV/cell: 0.00
Calculated volume, Å³ per cell: 210.5
Polymorph energy (0 for the lowest one), kJ/mol of formula units: 0
Size of the total moment, μB per atom: 0.000
E_tot, eV/atom: -3.737

Cell lengths 7.395, 7.395, 3.849 Å; angles 90.00, 90.00, 90.00 degrees
Element x y z (fractional)
C (0.938, 0.438, 0.500)
C (0.438, 0.062, 0.500)
C (0.562, 0.938, 0.500)
C (0.062, 0.562, 0.500)
Hg (0.000, 0.000, 0.000)
Hg (0.500, 0.500, 0.000)
Ag (0.362, 0.862, 0.000)
Ag (0.138, 0.362, 0.000)
Ag (0.862, 0.638, 0.000)
Ag (0.638, 0.138, 0.000)